Na2Ga4Cu3: relaxed, PBE-GGA.

a = 7.785 Å, b = 6.931 Å, c = 5.212 Å
α = 78.35°, β = 60.68°, γ = 40.97°
Sites, in units of the cell vectors:
Na 0.125 0.125 0.875
Na 0.875 0.875 0.125
Ga 0.169 0.506 0.494
Ga 0.494 0.831 0.169
Ga 0.506 0.169 0.831
Ga 0.831 0.494 0.506
Cu 0.000 0.000 0.500
Cu 0.500 0.500 0.000
Cu 0.500 0.500 0.500

Output
* total moment: 0.000 μB per atom
* crystal system: orthorhombic
* formation energy from the elements: -0.077 eV/atom